# 1
Computed, not measured: a relaxed Nd2Ge2Au crystal at the PBE level of DFT.

POSCAR file:
```
Nd2Ge2Au
1.0
3.842 0.000 0.000
0.000 2.181 7.121
0.000 -2.181 7.121
Nd Ge Au
2 2 1
direct
0.000 0.000 0.000
0.000 0.239 0.239
0.500 0.619 0.619
0.500 0.815 0.815
0.500 0.421 0.421
```

* ΔE_f: -688 meV per atom
* symmetry: Amm2 (38)
* Fermi-level density of states: 3.03 states/eV/f.u.



# 2
Computed, not measured: a relaxed NiSn6Sb crystal at the PBE level of DFT.

POSCAR file:
```
NiSn6Sb
1.0
6.975 -4.756 0.000
6.975 4.756 0.000
-6.757 0.000 7.014
Ni Sn Sb
2 12 2
direct
0.000 0.500 0.000
0.500 0.000 0.000
0.128 0.812 0.122
0.188 0.872 0.878
0.198 0.513 0.325
0.299 0.299 0.956
0.394 0.394 0.760
0.487 0.802 0.675
0.513 0.198 0.325
0.606 0.606 0.240
0.701 0.701 0.044
0.802 0.487 0.675
0.812 0.128 0.122
0.872 0.188 0.878
0.000 0.500 0.500
0.500 0.000 0.500
```

* uncorrected formation energy: 4 meV per atom
* symmetry: C2/m (12)
* Fermi-level density of states: 3.61 states/eV/f.u.



# 3
Computed, not measured: a relaxed Mg2AlGa2 crystal at the PBE level of DFT.

POSCAR file:
```
Mg2AlGa2
1.0
2.039 -8.228 0.000
2.039 8.228 0.000
0.000 0.000 5.763
Mg Al Ga
4 2 4
direct
0.006 0.994 0.500
0.212 0.788 0.520
0.788 0.212 0.020
0.994 0.006 0.000
0.399 0.601 0.754
0.601 0.399 0.254
0.168 0.832 0.017
0.404 0.596 0.248
0.596 0.404 0.748
0.832 0.168 0.517
```

* ΔE_f: -42 meV per atom
* symmetry: Cmc2_1 (36)
* Fermi-level density of states: 2.23 states/eV/f.u.



# 4
Computed, not measured: a relaxed Zr2Bi2Pb crystal at the PBE level of DFT.

POSCAR file:
```
Zr2Bi2Pb
1.0
-2.212 2.212 7.575
2.212 -2.212 7.575
2.212 2.212 -7.575
Zr Bi Pb
2 2 1
direct
0.250 0.750 0.500
0.750 0.250 0.500
0.110 0.110 0.000
0.890 0.890 0.000
0.500 0.500 0.000
```

* ΔE_f: 88 meV per atom
* symmetry: I4/mmm (139)
* Fermi-level density of states: 3.92 states/eV/f.u.



Number 1: total DFT energy (no corrections) -5.10 eV/atom. Number 2: total DFT energy (no corrections) -4.24 eV/atom. Number 3: total DFT energy (no corrections) -2.64 eV/atom. Number 4: total DFT energy (no corrections) -5.63 eV/atom.